# 1
! CaFeSi2Ru, relaxed, DFT PBE; values from VASP
! density of states at the Fermi level: 0.83 states/eV/atom
! formation energy from raw total energies: -571 meV/atom
! size of the total moment: 1.18 μB/f.u.
&SYSTEM
  ibrav = 0, nat = 5, ntyp = 4
/
ATOMIC_SPECIES
Si 28.09 Si.upf
Ru 101.07 Ru.upf
Fe 55.84 Fe.upf
Ca 40.08 Ca.upf
ATOMIC_POSITIONS angstrom
Si 0.260 3.528 1.118
Si -2.585 1.708 -0.491
Ru -1.653 2.246 1.603
Fe -0.672 2.990 -0.976
Ca 0.000 0.000 0.000
CELL_PARAMETERS angstrom
-1.694 1.221 -3.460
-3.658 -0.268 1.697
3.027 4.282 2.390



# 2
! HgW, relaxed, DFT PBE; values from VASP
! energy relative to the elements: 1.4822 eV per atom
! density of states at the Fermi level: 1.54 states/eV/atom
! size of the total moment: 0.00 μB/f.u.
&SYSTEM
  ibrav = 0, nat = 16, ntyp = 2
/
ATOMIC_SPECIES
Hg 200.59 Hg.upf
W 183.84 W.upf
ATOMIC_POSITIONS angstrom
Hg -3.715 1.341 1.729
Hg -3.924 0.742 6.109
W -5.353 6.591 7.054
W -1.310 0.473 0.610
W -9.980 4.538 -1.294
W -5.764 3.503 2.333
W -7.771 2.805 3.617
Hg -8.337 3.508 0.714
W -6.743 1.250 1.978
Hg -10.176 3.674 4.736
Hg -7.923 -0.122 4.421
W -5.567 1.772 4.101
W -9.202 -2.272 5.659
Hg -7.260 -0.738 0.089
Hg -5.870 4.603 5.165
Hg -4.485 5.653 1.095
CELL_PARAMETERS angstrom
-3.023 8.108 -0.319
-7.851 -3.009 -2.069
-2.048 -0.434 8.402



# 3
! KNaFeCl4, relaxed, DFT PBE; values from VASP
! density of states at the Fermi level: 1.01 states/eV/atom
! formation energy from raw total energies: -1366 meV/atom
! size of the total moment: 4.00 μB/f.u.
&SYSTEM
  ibrav = 0, nat = 14, ntyp = 4
/
ATOMIC_SPECIES
Fe 55.84 Fe.upf
Na 22.99 Na.upf
Cl 35.45 Cl.upf
K 39.10 K.upf
ATOMIC_POSITIONS angstrom
Fe 3.464 1.781 5.497
Na 0.047 1.781 4.437
Fe 0.839 5.344 2.624
Na 4.257 5.344 3.684
Cl 2.646 5.344 1.222
Cl 1.627 5.344 4.751
Cl -0.616 7.091 2.198
Cl 1.657 1.781 6.899
Cl 4.919 0.035 5.923
K 2.750 5.344 7.629
Cl 2.677 1.781 3.370
Cl -0.616 3.597 2.198
K 1.554 1.781 0.492
Cl 4.919 3.528 5.923
CELL_PARAMETERS angstrom
6.878 0.000 0.088
0.000 7.125 0.000
-2.574 0.000 8.033



# 4
! ScAl5Ir6, relaxed, DFT PBE; values from VASP
! energy relative to the elements: -0.9600 eV per atom
! density of states at the Fermi level: 0.24 states/eV/atom
! size of the total moment: 0.00 μB/f.u.
&SYSTEM
  ibrav = 0, nat = 12, ntyp = 3
/
ATOMIC_SPECIES
Ir 192.22 Ir.upf
Al 26.98 Al.upf
Sc 44.96 Sc.upf
ATOMIC_POSITIONS angstrom
Ir -1.116 4.266 -2.364
Al -4.084 0.354 -1.378
Al -1.423 1.691 -2.066
Ir -4.349 -2.230 -1.089
Ir -3.698 2.915 -1.691
Al -2.638 -1.380 0.687
Ir -4.942 -0.101 1.064
Ir -2.360 1.250 0.391
Sc 0.000 0.000 0.000
Al -4.635 2.474 0.766
Ir -1.825 -0.910 -1.746
Al -1.974 3.812 0.078
CELL_PARAMETERS angstrom
-0.898 -0.379 -4.210
-5.276 -2.761 1.374
0.117 7.305 1.535



# 5
! MnSbCl, relaxed, DFT PBE; values from VASP
! density of states at the Fermi level: 0.52 states/eV/atom
! formation energy from raw total energies: -309 meV/atom
! size of the total moment: 4.23 μB/f.u.
&SYSTEM
  ibrav = 0, nat = 12, ntyp = 3
/
ATOMIC_SPECIES
Sb 121.76 Sb.upf
Mn 54.94 Mn.upf
Cl 35.45 Cl.upf
ATOMIC_POSITIONS angstrom
Sb 0.914 5.669 2.069
Sb 3.985 -1.815 3.494
Mn 6.105 6.317 -0.540
Mn 3.034 -2.463 6.103
Cl 5.280 0.485 0.671
Sb 3.984 4.296 0.016
Mn 3.034 3.648 2.625
Mn 6.106 0.206 2.938
Sb 0.913 -0.442 5.547
Cl 2.208 1.442 2.110
Cl 5.280 2.412 3.452
Cl 2.208 3.369 4.892
CELL_PARAMETERS angstrom
6.143 0.000 0.000
0.000 8.038 -0.696
0.000 -4.184 6.259



# 6
! Ca3PbF2, relaxed, DFT PBE; values from VASP
! formation energy from raw total energies: -2233 meV/atom
! size of the total moment: 0.00 μB/f.u.
&SYSTEM
  ibrav = 0, nat = 12, ntyp = 3
/
ATOMIC_SPECIES
Pb 207.20 Pb.upf
Ca 40.08 Ca.upf
F 19.00 F.upf
ATOMIC_POSITIONS angstrom
Pb -1.646 2.507 4.315
Ca -4.661 -3.494 3.053
Ca -4.908 2.908 5.100
Ca -3.675 3.012 1.660
F -2.596 -0.218 7.240
F -4.826 1.063 6.479
Pb -5.881 -0.203 2.715
Ca -2.618 -0.604 1.930
F -0.471 -0.040 1.312
F -2.701 1.241 0.551
Ca -2.865 5.798 3.977
Ca -3.852 -0.708 5.370
CELL_PARAMETERS angstrom
-4.460 2.562 -1.522
-4.122 -5.280 3.192
1.056 5.022 5.360



# 7
! PmAs, relaxed, DFT PBE; values from VASP
! energy relative to the elements: -1.5274 eV per atom
! density of states at the Fermi level: 0.13 states/eV/atom
! size of the total moment: 0.00 μB/f.u.
&SYSTEM
  ibrav = 0, nat = 2, ntyp = 2
/
ATOMIC_SPECIES
As 74.92 As.upf
Pm 145.00 Pm.upf
ATOMIC_POSITIONS angstrom
As 0.000 0.000 0.000
Pm 4.238 2.447 1.730
CELL_PARAMETERS angstrom
4.238 0.000 0.000
2.119 3.671 0.000
2.119 1.224 3.461



# 8
! Hf4ReOs2, relaxed, DFT PBE; values from VASP
! energy relative to the elements: -0.3815 eV per atom
! density of states at the Fermi level: 0.69 states/eV/atom
! size of the total moment: 0.00 μB/f.u.
&SYSTEM
  ibrav = 0, nat = 7, ntyp = 3
/
ATOMIC_SPECIES
Os 190.23 Os.upf
Hf 178.49 Hf.upf
Re 186.21 Re.upf
ATOMIC_POSITIONS angstrom
Os -2.727 0.328 1.727
Hf -0.473 -1.138 2.516
Hf -2.254 1.465 -0.789
Hf 0.496 -2.016 -1.881
Os -1.757 -0.551 -2.671
Re 0.000 0.000 0.000
Hf -2.231 -1.688 -0.155
CELL_PARAMETERS angstrom
-4.507 2.931 -1.579
0.992 -4.032 -3.763
-0.946 -2.275 5.032



Repeat the fifth record exactly.
! MnSbCl, relaxed, DFT PBE; values from VASP
! density of states at the Fermi level: 0.52 states/eV/atom
! formation energy from raw total energies: -309 meV/atom
! size of the total moment: 4.23 μB/f.u.
&SYSTEM
  ibrav = 0, nat = 12, ntyp = 3
/
ATOMIC_SPECIES
Sb 121.76 Sb.upf
Mn 54.94 Mn.upf
Cl 35.45 Cl.upf
ATOMIC_POSITIONS angstrom
Sb 0.914 5.669 2.069
Sb 3.985 -1.815 3.494
Mn 6.105 6.317 -0.540
Mn 3.034 -2.463 6.103
Cl 5.280 0.485 0.671
Sb 3.984 4.296 0.016
Mn 3.034 3.648 2.625
Mn 6.106 0.206 2.938
Sb 0.913 -0.442 5.547
Cl 2.208 1.442 2.110
Cl 5.280 2.412 3.452
Cl 2.208 3.369 4.892
CELL_PARAMETERS angstrom
6.143 0.000 0.000
0.000 8.038 -0.696
0.000 -4.184 6.259



What is the size of the total moment in the second record?
0.00 μB/f.u.



What is the size of the total moment in the sixth record?
0.00 μB/f.u.